Entry 1:
First-principles (PBE) data for crystalline Rb2MoOsBr6 at its relaxed geometry, as listed in the Alexandria database.

## Properties
SG: I4/mmm, No. 139
ΔE_f (raw) (eV/atom): -0.48
Crystal system: tetragonal
Spin magnetization (μB/cell): 4.751

Lattice parameters (Å, degrees): 7.525 7.525 7.512 59.94 59.94 90.00
Last column: magnetic moment on the atom in μB.
Element x y z (fractional)
1 Mo 0.500 0.500 0.000  3.07
2 Os 0.000 0.000 0.000  0.89
3 Br 0.244 0.244 0.511  0.03
4 Br 0.756 0.756 0.489  0.03
5 Br 0.244 0.244 0.000  0.03
6 Br 0.756 0.756 0.000  0.03
7 Br 0.756 0.244 0.000  0.03
8 Br 0.244 0.756 0.000  0.03
9 Rb 0.750 0.250 0.500  0.00
10 Rb 0.250 0.750 0.500  0.00

Entry 2:
First-principles (PBE) data for crystalline NaPaBrF4 at its relaxed geometry, as listed in the Alexandria database.

## Properties
SG: C2/m, No. 12
ΔE_f (raw) (eV/atom): -3.13
Crystal system: monoclinic
Spin magnetization (μB/cell): 2.006

Lattice parameters (Å, degrees): 6.738 6.738 7.765 73.57 73.57 65.64
Last column: magnetic moment on the atom in μB.
Element x y z (fractional)
1 Na 0.636 0.636 0.700  0.00
2 Na 0.364 0.364 0.300  0.00
3 Pa 0.234 0.234 0.894  1.02
4 Pa 0.766 0.766 0.106  1.02
5 Br 0.995 0.995 0.229  -0.01
6 Br 0.005 0.005 0.771  -0.01
7 F 0.296 0.296 0.600  -0.01
8 F 0.704 0.704 0.400  -0.01
9 F 0.083 0.465 0.141  -0.01
10 F 0.568 0.568 0.164  -0.01
11 F 0.535 0.917 0.859  -0.01
12 F 0.465 0.083 0.141  -0.01
13 F 0.432 0.432 0.836  -0.01
14 F 0.917 0.535 0.859  -0.01